! PBE BaZnSb2, relaxed; values from VASP
! Calculated density, g cm⁻³: 6.0
! Crystal system: monoclinic
! Total energy, eV per atom: -3.212
! ΔE_f (raw), kJ per mole of atoms: -34
&SYSTEM
  ibrav = 0, nat = 4, ntyp = 3
/
ATOMIC_SPECIES
Ba 137.33 Ba.upf
Zn 65.41 Zn.upf
Sb 121.76 Sb.upf
ATOMIC_POSITIONS angstrom
Ba 0.0000 0.0000 0.0000
Zn 3.3227 0.0000 0.0000
Sb 1.7505 1.4916 2.7658
Sb 1.7505 -1.4916 2.7658
CELL_PARAMETERS angstrom
3.3227 -3.3322 0.0000
3.3227 3.3322 0.0000
-3.1443 0.0000 5.5317

=====

! PBE BaZnSb2, relaxed; values from VASP
! Calculated density, g cm⁻³: 6.0
! Crystal system: monoclinic
! Total energy, eV per atom: -3.174
! ΔE_f (raw), kJ per mole of atoms: -30
&SYSTEM
  ibrav = 0, nat = 4, ntyp = 3
/
ATOMIC_SPECIES
Ba 137.33 Ba.upf
Zn 65.41 Zn.upf
Sb 121.76 Sb.upf
ATOMIC_POSITIONS angstrom
Ba 0.0000 0.0000 0.0000
Zn -0.5722 0.0000 3.3769
Sb 1.0238 2.0686 4.6614
Sb 2.2780 2.0686 2.0924
CELL_PARAMETERS angstrom
4.4462 0.0000 0.0000
0.0000 4.1372 0.0000
-1.1443 0.0000 6.7537

=====

! PBE Ba2ZnSb2, relaxed; values from VASP
! Calculated density, g cm⁻³: 5.3
! Crystal system: orthorhombic
! Total energy, eV per atom: -3.546
! ΔE_f (raw), kJ per mole of atoms: -84
&SYSTEM
  ibrav = 0, nat = 10, ntyp = 3
/
ATOMIC_SPECIES
Ba 137.33 Ba.upf
Zn 65.41 Zn.upf
Sb 121.76 Sb.upf
ATOMIC_POSITIONS angstrom
Ba 1.4888 1.9496 0.0000
Ba 1.4888 -1.9496 3.5314
Ba 2.1515 9.1044 0.0000
Ba 2.1515 5.2053 3.5314
Zn 3.6403 0.0000 1.7657
Zn 0.0000 7.1549 1.7657
Sb 5.1409 1.5909 0.0000
Sb 1.5006 5.5640 0.0000
Sb 2.1398 1.5909 3.5314
Sb -1.5006 5.5640 3.5314
CELL_PARAMETERS angstrom
-3.6403 7.1549 3.5314
3.6403 -7.1549 3.5314
3.6403 7.1549 -3.5314

=====

! PBE BaZn3Sb3, relaxed; values from VASP
! Calculated density, g cm⁻³: 5.5
! Crystal system: cubic
! Total energy, eV per atom: -2.887
! Relative energy among the computed polymorphs, meV/atom: 25.8
! ΔE_f (raw), kJ per mole of atoms: -29
&SYSTEM
  ibrav = 0, nat = 14, ntyp = 3
/
ATOMIC_SPECIES
Ba 137.33 Ba.upf
Zn 65.41 Zn.upf
Sb 121.76 Sb.upf
ATOMIC_POSITIONS angstrom
Ba 0.0000 0.0000 0.0000
Ba 3.7615 3.7615 3.7615
Zn 0.0000 1.8808 3.7615
Zn 0.0000 5.6423 3.7615
Zn 1.8808 3.7615 0.0000
Zn 3.7615 0.0000 1.8808
Zn 3.7615 0.0000 5.6423
Zn 5.6423 3.7615 0.0000
Sb 0.0000 3.7615 1.8808
Sb 0.0000 3.7615 5.6423
Sb 1.8808 0.0000 3.7615
Sb 3.7615 1.8808 0.0000
Sb 3.7615 5.6423 0.0000
Sb 5.6423 0.0000 3.7615
CELL_PARAMETERS angstrom
7.5231 0.0000 0.0000
0.0000 7.5231 0.0000
0.0000 0.0000 7.5231

=====

! PBE BaZnSb2, relaxed; values from VASP
! Calculated density, g cm⁻³: 6.2
! Crystal system: tetragonal
! Total energy, eV per atom: -3.084
! ΔE_f (raw), kJ per mole of atoms: -22
&SYSTEM
  ibrav = 0, nat = 4, ntyp = 3
/
ATOMIC_SPECIES
Ba 137.33 Ba.upf
Zn 65.41 Zn.upf
Sb 121.76 Sb.upf
ATOMIC_POSITIONS angstrom
Ba 0.0000 0.0000 0.0000
Zn 0.0000 2.4756 2.4302
Sb 2.4756 0.0000 2.4302
Sb 0.0000 0.0000 4.8604
CELL_PARAMETERS angstrom
-2.4756 2.4756 4.8604
2.4756 -2.4756 4.8604
2.4756 2.4756 -4.8604

=====

! PBE BaZnSb2, relaxed; values from VASP
! Calculated density, g cm⁻³: 6.2
! Crystal system: tetragonal
! Total energy, eV per atom: -3.131
! ΔE_f (raw), kJ per mole of atoms: -26
&SYSTEM
  ibrav = 0, nat = 4, ntyp = 3
/
ATOMIC_SPECIES
Ba 137.33 Ba.upf
Zn 65.41 Zn.upf
Sb 121.76 Sb.upf
ATOMIC_POSITIONS angstrom
Ba 0.0000 0.0000 0.0000
Zn 0.0000 0.0000 3.5181
Sb 2.0654 2.0654 2.1212
Sb 2.0654 2.0654 4.9150
CELL_PARAMETERS angstrom
4.1309 0.0000 0.0000
0.0000 4.1309 0.0000
0.0000 0.0000 7.0362